No. 1
Mg3Zn2In: optimized geometry, GGA-PBE.

a = 3.1969 Å, b = 3.1969 Å, c = 11.7219 Å
α = 90.00°, β = 90.00°, γ = 90.00°
With the nearest neighbours (Å) after each atom.
Fractional coordinates of all 6 atoms:
Mg 0.0000 0.0000 0.0000  8 Zn 2.88, 4 Mg 3.20
Mg 0.0000 0.0000 0.6960  4 Zn 2.87, 4 Mg 3.20
Mg 0.0000 0.0000 0.3040  4 Zn 2.87, 4 Mg 3.20
Zn 0.5000 0.5000 0.8475  8 Mg 2.87-2.88, 4 Zn 3.20
Zn 0.5000 0.5000 0.1525  8 Mg 2.87-2.88, 4 Zn 3.20
In 0.5000 0.5000 0.5000  4 In 3.20, 8 Mg 3.22

* space group: P4/mmm, No. 123
* crystal system: tetragonal
* N(E_F): 1.9 states/eV/f.u.
* energy of formation: -74 meV per atom

No. 2
K12RbAu6: optimized geometry, GGA-PBE.

a = 10.6578 Å, b = 10.6578 Å, c = 10.6578 Å
α = 109.47°, β = 109.47°, γ = 109.47°
With the nearest neighbours (Å) after each atom.
Fractional coordinates of all 19 atoms:
K 0.3255 0.1441 0.8185  3 Au 3.29-3.41
K 0.3255 0.5070 0.1815  3 Au 3.29-3.41
K 0.6745 0.4930 0.8185  3 Au 3.29-3.41
K 0.6745 0.8559 0.1815  3 Au 3.29-3.41
K 0.1441 0.8185 0.3255  3 Au 3.29-3.41
K 0.5070 0.1815 0.3255  3 Au 3.29-3.41
K 0.4930 0.8185 0.6745  3 Au 3.29-3.41
K 0.8559 0.1815 0.6745  3 Au 3.29-3.41
K 0.8185 0.3255 0.1441  3 Au 3.29-3.41
K 0.1815 0.3255 0.5070  3 Au 3.29-3.41
K 0.8185 0.6745 0.4930  3 Au 3.29-3.41
K 0.1815 0.6745 0.8559  3 Au 3.29-3.41
Rb 0.0000 0.0000 0.0000  12 K 4.59
Au 0.3841 0.5000 0.8841  1 Au 2.85
Au 0.6159 0.5000 0.1159  1 Au 2.85
Au 0.5000 0.8841 0.3841  1 Au 2.85
Au 0.5000 0.1159 0.6159  1 Au 2.85
Au 0.8841 0.3841 0.5000  1 Au 2.85
Au 0.1159 0.6159 0.5000  1 Au 2.85

* space group: Im-3, No. 204
* crystal system: cubic
* N(E_F): 7.0 states/eV/f.u.
* energy of formation: -191 meV per atom

No. 3
SmYInPb: optimized geometry, GGA-PBE.

a = 5.4398 Å, b = 5.4398 Å, c = 5.4398 Å
α = 60.00°, β = 60.00°, γ = 60.00°
With the nearest neighbours (Å) after each atom.
Fractional coordinates of all 4 atoms:
Pb 0.5000 0.5000 0.5000  4 Y 3.33, 4 Sm 3.33
Y 0.7500 0.7500 0.7500  4 Pb 3.33, 4 In 3.33
Sm 0.2500 0.2500 0.2500  4 In 3.33, 4 Pb 3.33
In 0.0000 0.0000 0.0000  4 Sm 3.33, 4 Y 3.33

* energy relative to the lowest polymorph listed for this composition: 41.3 meV/atom
* space group: F-43m, No. 216
* crystal system: cubic
* N(E_F): 2.9 states/eV/f.u.
* energy of formation: -439 meV per atom

No. 4
NaNb2SnAu: optimized geometry, GGA-PBE.

a = 5.1518 Å, b = 5.3579 Å, c = 5.1518 Å
α = 90.00°, β = 90.00°, γ = 90.00°
With the nearest neighbours (Å) after each atom.
Fractional coordinates of all 5 atoms:
Na 0.5000 0.5000 0.5000  4 Sn 3.64, 8 Nb 3.72
Nb 0.0000 0.0000 0.5000  2 Au 2.58
Nb 0.5000 0.0000 0.0000  2 Au 2.58
Au 0.0000 0.0000 0.0000  4 Nb 2.58, 2 Sn 2.68
Sn 0.0000 0.5000 0.0000  2 Au 2.68

* space group: P4/mmm, No. 123
* crystal system: tetragonal
* N(E_F): 6.9 states/eV/f.u.
* energy of formation: 1264 meV per atom

No. 5
Tc2SnO: optimized geometry, GGA-PBE.

a = 6.5272 Å, b = 6.5272 Å, c = 5.4353 Å
α = 53.10°, β = 53.10°, γ = 90.00°
With the nearest neighbours (Å) after each atom.
Fractional coordinates of all 8 atoms:
Sn 0.0000 0.0000 0.0000  8 Tc 2.85-2.95, 2 O 2.87
Sn 0.7500 0.2500 0.5000  8 Tc 2.85-2.95, 2 O 2.87
O 0.5000 0.5000 0.0000  4 Tc 2.00
O 0.2500 0.7500 0.5000  4 Tc 2.00
Tc 0.5143 0.1250 0.2500  2 O 2.00
Tc 0.2357 0.6250 0.2500  2 O 2.00
Tc 0.3750 0.4857 0.7500  2 O 2.00
Tc 0.8750 0.7643 0.7500  2 O 2.00

* energy relative to the lowest polymorph listed for this composition: 0.0 meV/atom
* space group: I-42d, No. 122
* crystal system: tetragonal
* N(E_F): 5.3 states/eV/f.u.

No. 6
AlIn2Ge: optimized geometry, GGA-PBE.

a = 6.7005 Å, b = 6.7005 Å, c = 7.2086 Å
α = 62.31°, β = 62.31°, γ = 90.00°
With the nearest neighbours (Å) after each atom.
Fractional coordinates of all 8 atoms:
Ge 0.0000 0.0000 0.0000  4 In 2.68
Ge 0.7500 0.2500 0.5000  4 In 2.68
Al 0.5000 0.5000 0.0000  4 In 2.79
Al 0.2500 0.7500 0.5000  4 In 2.79
In 0.6386 0.1250 0.2500  2 Ge 2.68, 2 Al 2.79
In 0.1114 0.6250 0.2500  2 Ge 2.68, 2 Al 2.79
In 0.3750 0.3614 0.7500  2 Ge 2.68, 2 Al 2.79
In 0.8750 0.8886 0.7500  2 Ge 2.68, 2 Al 2.79

* space group: I-42d, No. 122
* crystal system: tetragonal
* N(E_F): 3.3 states/eV/f.u.
* energy of formation: 408 meV per atom

No. 7
Pm2Dy4C: optimized geometry, GGA-PBE.

a = 3.5920 Å, b = 3.5920 Å, c = 18.1596 Å
α = 84.32°, β = 84.32°, γ = 60.00°
With the nearest neighbours (Å) after each atom.
Fractional coordinates of all 7 atoms:
C 0.0000 0.0000 0.0000  6 Dy 2.48
Dy 0.1402 0.1402 0.5795  3 Pm 3.51, 9 Dy 3.54-3.59
Dy 0.8598 0.8598 0.4205  3 Pm 3.51, 9 Dy 3.54-3.59
Dy 0.3583 0.3583 0.9251  3 C 2.48
Dy 0.6417 0.6417 0.0749  3 C 2.48
Pm 0.2454 0.2454 0.2636  3 Dy 3.51, 6 Pm 3.59
Pm 0.7546 0.7546 0.7363  3 Dy 3.51, 6 Pm 3.59

* energy relative to the lowest polymorph listed for this composition: 0.0 meV/atom
* space group: R-3m, No. 166
* crystal system: trigonal
* N(E_F): 7.0 states/eV/f.u.
* energy of formation: -110 meV per atom

No. 8
Dy4Ho3S8: optimized geometry, GGA-PBE.

a = 7.7778 Å, b = 7.7759 Å, c = 7.7759 Å
α = 90.00°, β = 120.01°, γ = 120.01°
With the nearest neighbours (Å) after each atom.
Fractional coordinates of all 15 atoms:
Dy 0.5000 0.0000 0.0000  6 S 2.76
Dy 0.0000 0.5000 0.0000  6 S 2.75
Dy 0.0000 0.0000 0.0000  6 S 2.76
Dy 0.0000 0.0000 0.5000  6 S 2.75
Ho 0.5000 0.5000 0.0000  6 S 2.75
Ho 0.5000 0.0000 0.5000  6 S 2.75
Ho 0.5000 0.5000 0.5000  6 S 2.74
S 0.5028 0.2520 0.2520  3 Ho 2.74-2.75, 2 Dy 2.76
S 0.0000 0.7486 0.2514  2 Ho 2.75, 3 Dy 2.75-2.76
S 0.0013 0.2519 0.2519  1 Ho 2.74, 4 Dy 2.75-2.76
S 0.5000 0.7494 0.2506  3 Ho 2.74-2.75, 3 Dy 2.75-2.76
S 0.5000 0.2506 0.7494  3 Ho 2.74-2.75, 3 Dy 2.75-2.76
S 0.9987 0.7481 0.7481  1 Ho 2.74, 4 Dy 2.75-2.76
S 0.0000 0.2514 0.7486  2 Ho 2.75, 3 Dy 2.75-2.76
S 0.4972 0.7480 0.7480  3 Ho 2.74-2.75, 2 Dy 2.76

* space group: C2/m, No. 12
* crystal system: monoclinic
* N(E_F): 6.0 states/eV/f.u.

No. 9
SrIn2Os: optimized geometry, GGA-PBE.

a = 4.6592 Å, b = 4.6592 Å, c = 6.3621 Å
α = 68.53°, β = 68.53°, γ = 59.99°
With the nearest neighbours (Å) after each atom.
Fractional coordinates of all 4 atoms:
In 0.0400 0.0400 0.8803  3 Os 2.85, 3 In 3.05
In 0.7895 0.7895 0.6314  3 Os 2.73, 3 In 3.05
Os 0.4278 0.4278 0.7168  6 In 2.73-2.85
Sr 0.2427 0.2427 0.2714  1 Os 3.20, 7 In 3.40-3.51

* space group: R3m, No. 160
* crystal system: trigonal
* N(E_F): 3.3 states/eV/f.u.
* energy of formation: 124 meV per atom

No. 10
TbPrNdDy3: optimized geometry, GGA-PBE.

a = 5.6650 Å, b = 10.3884 Å, c = 7.0544 Å
α = 90.15°, β = 90.00°, γ = 105.82°
With the nearest neighbours (Å) after each atom.
Fractional coordinates of all 12 atoms:
Tb 0.6494 0.2989 0.4606  1 Pr 3.03, 2 Dy 3.23-3.31
Tb 0.3506 0.7011 0.5394  1 Pr 3.03, 2 Dy 3.23-3.31
Pr 0.3534 0.7068 0.9694  1 Tb 3.03, 2 Dy 3.20-3.30
Pr 0.6466 0.2932 0.0306  1 Tb 3.03, 2 Dy 3.20-3.30
Nd 0.0546 0.1092 0.2595  3 Dy 3.23-3.32
Nd 0.9454 0.8908 0.7405  3 Dy 3.23-3.32
Dy 0.8342 0.6684 0.2629  2 Tb 3.45, 2 Pr 3.53, 4 Dy 3.63-3.75
Dy 0.7794 0.5587 0.7535  3 Pr 3.30-3.54, 3 Tb 3.31-3.51, 1 Nd 3.32, 3 Dy 3.63
Dy 0.4774 0.9548 0.2577  1 Pr 3.20, 2 Nd 3.23, 1 Tb 3.23, 1 Dy 3.53
Dy 0.2206 0.4413 0.2465  3 Pr 3.30-3.54, 3 Tb 3.31-3.51, 1 Nd 3.32, 3 Dy 3.63
Dy 0.5226 0.0452 0.7423  1 Pr 3.20, 2 Nd 3.23, 1 Tb 3.23, 1 Dy 3.53
Dy 0.1658 0.3316 0.7371  2 Tb 3.45, 2 Pr 3.53, 4 Dy 3.63-3.75

* space group: C2/m, No. 12
* crystal system: monoclinic
* N(E_F): 9.1 states/eV/f.u.
* energy of formation: 184 meV per atom

No. 11
Li2Pm3S2O4: optimized geometry, GGA-PBE.

a = 3.8990 Å, b = 3.8990 Å, c = 10.7763 Å
α = 100.42°, β = 100.42°, γ = 90.00°
With the nearest neighbours (Å) after each atom.
Fractional coordinates of all 11 atoms:
Li 0.4170 0.4170 0.8339  4 O 1.96
Li 0.5830 0.5830 0.1661  4 O 1.96
Pm 0.0000 0.0000 0.0000  8 O 2.50
Pm 0.1537 0.1537 0.3075  4 O 2.55
Pm 0.8463 0.8463 0.6925  4 O 2.55
S 0.2971 0.2971 0.5942  1 Li 2.50
S 0.7029 0.7029 0.4058  1 Li 2.50
O 0.4250 0.9250 0.8500  2 Li 1.96
O 0.9250 0.4250 0.8500  2 Li 1.96
O 0.0750 0.5750 0.1500  2 Li 1.96
O 0.5750 0.0750 0.1500  2 Li 1.96

* space group: I4/mmm, No. 139
* crystal system: tetragonal
* N(E_F): 7.3 states/eV/f.u.

No. 12
VCo2Ni3: optimized geometry, GGA-PBE.

a = 5.5659 Å, b = 5.5659 Å, c = 4.5947 Å
α = 90.00°, β = 90.00°, γ = 100.04°
With the nearest neighbours (Å) after each atom.
Fractional coordinates of all 12 atoms:
V 0.9250 0.0750 0.2500  5 Ni 2.19-2.45
V 0.0750 0.9250 0.7500  5 Ni 2.19-2.45
Co 0.0733 0.6013 0.2500  1 Co 2.33, 5 Ni 2.48-2.55
Co 0.3987 0.9267 0.2500  1 Co 2.33, 5 Ni 2.48-2.55
Co 0.9267 0.3987 0.7500  1 Co 2.33, 5 Ni 2.48-2.55
Co 0.6013 0.0733 0.7500  1 Co 2.33, 5 Ni 2.48-2.55
Ni 0.7106 0.7106 0.5000  4 Ni 2.30-2.37, 2 V 2.45, 4 Co 2.49-2.55
Ni 0.2894 0.2894 0.0000  4 Ni 2.30-2.37, 2 V 2.45, 4 Co 2.49-2.55
Ni 0.2894 0.2894 0.5000  4 Ni 2.30-2.37, 2 V 2.45, 4 Co 2.49-2.55
Ni 0.7106 0.7106 0.0000  4 Ni 2.30-2.37, 2 V 2.45, 4 Co 2.49-2.55
Ni 0.6679 0.3321 0.2500  1 V 2.19, 4 Ni 2.37
Ni 0.3321 0.6679 0.7500  1 V 2.19, 4 Ni 2.37

* energy relative to the lowest polymorph listed for this composition: 140.0 meV/atom
* space group: Cmcm, No. 63
* crystal system: orthorhombic
* N(E_F): 7.2 states/eV/f.u.
* energy of formation: 85 meV per atom

No. 13
Pr2ScTl3: optimized geometry, GGA-PBE.

a = 3.6944 Å, b = 6.3963 Å, c = 8.6931 Å
α = 111.59°, β = 102.27°, γ = 90.00°
With the nearest neighbours (Å) after each atom.
Fractional coordinates of all 6 atoms:
Pr 0.6732 0.1732 0.3464  6 Tl 3.22-3.32
Pr 0.3268 0.8268 0.6536  6 Tl 3.22-3.32
Sc 0.0000 0.5000 0.0000  6 Tl 3.02-3.20
Tl 0.3485 0.3485 0.6970  2 Sc 3.02, 4 Pr 3.22-3.32
Tl 0.0000 0.0000 0.0000  2 Sc 3.20, 4 Pr 3.29
Tl 0.6515 0.6515 0.3030  2 Sc 3.02, 4 Pr 3.22-3.32

* energy relative to the lowest polymorph listed for this composition: 218.2 meV/atom
* space group: Immm, No. 71
* crystal system: orthorhombic
* N(E_F): 8.6 states/eV/f.u.
* energy of formation: -136 meV per atom

No. 14
LiLa3Bi: optimized geometry, GGA-PBE.

a = 5.3953 Å, b = 5.3953 Å, c = 5.3953 Å
α = 90.00°, β = 90.00°, γ = 90.00°
With the nearest neighbours (Å) after each atom.
Fractional coordinates of all 5 atoms:
Li 0.0000 0.0000 0.0000  6 La 2.70
Bi 0.5000 0.5000 0.5000  12 La 3.82
La 0.0000 0.5000 0.0000  2 Li 2.70
La 0.0000 0.0000 0.5000  2 Li 2.70
La 0.5000 0.0000 0.0000  2 Li 2.70

* energy relative to the lowest polymorph listed for this composition: 0.0 meV/atom
* space group: Pm-3m, No. 221
* crystal system: cubic
* N(E_F): 4.2 states/eV/f.u.
* energy of formation: -25 meV per atom

No. 15
Dy3Ho6Tl: optimized geometry, GGA-PBE.

a = 3.5373 Å, b = 12.7879 Å, c = 15.9705 Å
α = 121.40°, β = 90.00°, γ = 90.00°
With the nearest neighbours (Å) after each atom.
Fractional coordinates of all 20 atoms:
Dy 0.7500 0.3880 0.8976  1 Tl 3.27, 7 Ho 3.27-3.60, 4 Dy 3.50-3.54
Dy 0.2500 0.6120 0.1024  1 Tl 3.27, 7 Ho 3.27-3.60, 4 Dy 3.50-3.54
Dy 0.7500 0.6193 0.4961  7 Ho 3.34-3.64, 4 Dy 3.54-3.58
Dy 0.2500 0.3807 0.5039  7 Ho 3.34-3.64, 4 Dy 3.54-3.58
Dy 0.7500 0.1245 0.0925  4 Ho 3.23-3.55, 4 Dy 3.49-3.54
Dy 0.2500 0.8755 0.9075  4 Ho 3.23-3.55, 4 Dy 3.49-3.54
Ho 0.7500 0.5957 0.7109  7 Ho 3.39-3.63, 5 Dy 3.48-3.75
Ho 0.2500 0.4043 0.2891  7 Ho 3.39-3.63, 5 Dy 3.48-3.75
Ho 0.7500 0.8588 0.1042  5 Dy 3.50-3.71, 2 Tl 3.52, 6 Ho 3.53-3.57
Ho 0.2500 0.1412 0.8958  5 Dy 3.50-3.71, 2 Tl 3.52, 6 Ho 3.53-3.57
Ho 0.7500 0.3811 0.0994  4 Dy 3.23-3.42, 7 Ho 3.39-3.57
Ho 0.2500 0.6189 0.9006  4 Dy 3.23-3.42, 7 Ho 3.39-3.57
Ho 0.7500 0.6637 0.3079  2 Tl 3.33, 3 Dy 3.34-3.48, 7 Ho 3.41-3.63
Ho 0.2500 0.3363 0.6921  2 Tl 3.33, 3 Dy 3.34-3.48, 7 Ho 3.41-3.63
Ho 0.7500 0.1158 0.4770  3 Tl 3.34-3.48, 6 Ho 3.54-3.58, 2 Dy 3.64
Ho 0.2500 0.8842 0.5230  3 Tl 3.34-3.48, 6 Ho 3.54-3.58, 2 Dy 3.64
Ho 0.7500 0.8805 0.7166  1 Tl 3.23, 3 Dy 3.36-3.55, 7 Ho 3.53-3.59
Ho 0.2500 0.1195 0.2834  1 Tl 3.23, 3 Dy 3.36-3.55, 7 Ho 3.53-3.59
Tl 0.7500 0.1187 0.6962  8 Ho 3.23-3.52, 1 Dy 3.27, 2 Tl 3.54
Tl 0.2500 0.8813 0.3038  8 Ho 3.23-3.52, 1 Dy 3.27, 2 Tl 3.54

* space group: P2_1/m, No. 11
* crystal system: monoclinic
* N(E_F): 14.1 states/eV/f.u.
* energy of formation: -10 meV per atom

No. 16
YHoI: optimized geometry, GGA-PBE.

a = 3.8306 Å, b = 3.8306 Å, c = 7.5088 Å
α = 90.00°, β = 90.00°, γ = 120.00°
With the nearest neighbours (Å) after each atom.
Fractional coordinates of all 3 atoms:
I 0.6667 0.3333 0.3333  3 Ho 3.30, 3 Y 3.30
Y 0.3333 0.6667 0.6594  3 I 3.30, 3 Ho 3.42
Ho 0.0000 0.0000 0.0073  3 I 3.30, 3 Y 3.42

* space group: P3m1, No. 156
* crystal system: trigonal
* N(E_F): 4.0 states/eV/f.u.

No. 17
Hg2PtPb: optimized geometry, GGA-PBE.

a = 4.2368 Å, b = 4.2261 Å, c = 5.1013 Å
α = 90.00°, β = 90.00°, γ = 90.00°
With the nearest neighbours (Å) after each atom.
Fractional coordinates of all 4 atoms:
Hg 0.0000 0.0000 0.0000  4 Hg 2.99, 4 Pt 3.31, 4 Pb 3.32
Hg 0.5000 0.5000 0.0000  4 Hg 2.99, 4 Pb 3.31, 4 Pt 3.32
Pb 0.5000 0.0000 0.5000  4 Pt 2.99, 8 Hg 3.31-3.32
Pt 0.0000 0.5000 0.5000  4 Pb 2.99, 8 Hg 3.31-3.32

* space group: Pmmm, No. 47
* crystal system: orthorhombic
* N(E_F): 1.1 states/eV/f.u.
* energy of formation: 133 meV per atom

No. 18
KCdAgSn2: optimized geometry, GGA-PBE.

a = 4.8757 Å, b = 4.8757 Å, c = 6.9442 Å
α = 110.55°, β = 110.55°, γ = 90.00°
With the nearest neighbours (Å) after each atom.
Fractional coordinates of all 5 atoms:
K 0.0000 0.0000 0.0000  8 Sn 3.74, 4 Cd 3.88, 4 Ag 3.88
Cd 0.2500 0.7500 0.5000  4 Sn 2.90
Ag 0.7500 0.2500 0.5000  4 Sn 2.90
Sn 0.6194 0.6194 0.2387  1 Sn 2.88, 2 Cd 2.90, 2 Ag 2.90
Sn 0.3806 0.3806 0.7613  1 Sn 2.88, 2 Cd 2.90, 2 Ag 2.90

* space group: I-4m2, No. 119
* crystal system: tetragonal
* N(E_F): 3.0 states/eV/f.u.
* energy of formation: -115 meV per atom

No. 19
Y4IrCl: optimized geometry, GGA-PBE.

a = 6.1369 Å, b = 6.1369 Å, c = 6.1369 Å
α = 60.00°, β = 60.00°, γ = 60.00°
With the nearest neighbours (Å) after each atom.
Fractional coordinates of all 6 atoms:
Y 0.8808 0.3731 0.3731  6 Y 3.02-3.12
Y 0.3731 0.3731 0.8808  6 Y 3.02-3.12
Y 0.3731 0.8808 0.3731  6 Y 3.02-3.12
Y 0.3731 0.3731 0.3731  6 Y 3.02-3.12
Ir 0.0000 0.0000 0.0000  12 Y 3.59, 4 Cl 3.76
Cl 0.7500 0.7500 0.7500  12 Y 3.60, 4 Ir 3.76

* space group: F-43m, No. 216
* crystal system: cubic
* N(E_F): 10.0 states/eV/f.u.

Number 1: energy -1.75 eV/atom. Number 2: energy -1.97 eV/atom. Number 3: energy -4.85 eV/atom. Number 4: energy -4.48 eV/atom. Number 5: energy -7.44 eV/atom. Number 6: energy -3.05 eV/atom. Number 7: energy -5.42 eV/atom. Number 8: energy -6.39 eV/atom. Number 9: energy -4.47 eV/atom. Number 10: energy -4.48 eV/atom. Number 11: energy -6.60 eV/atom. Number 12: energy -6.69 eV/atom. Number 13: energy -3.97 eV/atom. Number 14: energy -4.14 eV/atom. Number 15: energy -4.37 eV/atom. Number 16: energy -4.72 eV/atom. Number 17: energy -2.46 eV/atom. Number 18: energy -2.69 eV/atom. Number 19: energy -5.49 eV/atom.